This record from the Alexandria database describes an optimized crystal structure of Ti2P2H4O11. The functional is GGA-PBEsol.

Results
E	-280.10	eV for the cell shown
N(E_F)	0.00	states/eV/cell
space-group type	P-1, No. 2
total magnetic moment	0.0	μB/f.u.

Structure (POSCAR):
```
Ti2P2H4O11
1.0
5.162 0.000 0.000
0.845 8.587 0.000
0.813 2.731 9.410
Ti P H O
4 4 8 22
direct
0.053 0.365 0.310
0.271 0.758 0.160
0.729 0.242 0.840
0.947 0.635 0.690
0.214 0.174 0.067
0.245 0.312 0.622
0.755 0.688 0.378
0.786 0.826 0.933
0.142 0.843 0.452
0.218 0.661 0.899
0.375 0.787 0.553
0.423 0.553 0.814
0.577 0.447 0.186
0.625 0.213 0.447
0.782 0.339 0.101
0.858 0.157 0.548
0.021 0.214 0.707
0.047 0.762 0.003
0.185 0.819 0.553
0.186 0.494 0.609
0.200 0.218 0.209
0.244 0.605 0.822
0.252 0.529 0.219
0.263 0.991 0.093
0.277 0.286 0.471
0.437 0.262 0.971
0.498 0.752 0.307
0.502 0.248 0.693
0.563 0.738 0.029
0.723 0.714 0.529
0.737 0.009 0.907
0.748 0.471 0.781
0.756 0.395 0.178
0.800 0.782 0.791
0.814 0.506 0.391
0.815 0.181 0.447
0.953 0.238 0.997
0.979 0.786 0.293
```

---

This record from the Alexandria database describes an optimized crystal structure of TiPHO5. The functional is GGA-PBEsol.

Results
E	-249.90	eV for the cell shown
N(E_F)	0.00	states/eV/cell
ΔE to the lowest computed polymorph	0	meV/atom
space-group type	P2_1, No. 4
total magnetic moment	0.0	μB/f.u.

Structure (POSCAR):
```
TiPHO5
1.0
7.392 0.000 0.000
0.000 7.002 0.000
-3.429 0.000 6.614
Ti P H O
4 4 4 20
direct
0.220 0.000 0.477
0.221 0.495 0.972
0.779 0.995 0.028
0.780 0.500 0.523
0.002 0.889 0.752
0.499 0.627 0.748
0.501 0.127 0.252
0.998 0.389 0.248
0.427 0.707 0.317
0.452 0.246 0.801
0.548 0.746 0.199
0.573 0.207 0.683
0.001 0.423 0.747
0.095 0.514 0.146
0.099 0.020 0.654
0.165 0.265 0.411
0.171 0.762 0.911
0.334 0.754 0.587
0.338 0.254 0.088
0.407 0.000 0.356
0.409 0.490 0.849
0.497 0.637 0.251
0.503 0.137 0.749
0.591 0.990 0.151
0.593 0.500 0.644
0.662 0.754 0.912
0.666 0.254 0.413
0.829 0.262 0.089
0.835 0.765 0.589
0.901 0.520 0.346
0.905 0.014 0.854
0.999 0.923 0.253
```

---

This record from the Alexandria database describes an optimized crystal structure of TlP2H5O8. The functional is GGA-PBEsol.

Results
E	-196.09	eV for the cell shown
N(E_F)	0.00	states/eV/cell
space-group type	C2/c, No. 15
total magnetic moment	0.0	μB/f.u.

Structure (POSCAR):
```
TlP2H5O8
1.0
5.126 -3.865 0.000
5.126 3.865 0.000
-1.760 0.000 9.356
Tl P H O
2 4 10 16
direct
0.000 0.000 0.000
0.000 0.000 0.500
0.256 0.377 0.810
0.377 0.256 0.310
0.623 0.744 0.690
0.744 0.623 0.190
0.100 0.540 0.178
0.297 0.703 0.750
0.300 0.373 0.531
0.373 0.300 0.031
0.460 0.900 0.322
0.540 0.100 0.678
0.627 0.700 0.969
0.700 0.627 0.469
0.703 0.297 0.250
0.900 0.460 0.822
0.036 0.320 0.820
0.211 0.627 0.826
0.267 0.425 0.430
0.274 0.350 0.169
0.320 0.036 0.320
0.350 0.274 0.669
0.373 0.789 0.674
0.425 0.267 0.930
0.575 0.733 0.070
0.627 0.211 0.326
0.650 0.726 0.331
0.680 0.964 0.680
0.726 0.650 0.831
0.733 0.575 0.570
0.789 0.373 0.174
0.964 0.680 0.180
```

---

Copy entry 1 word for word.
This record from the Alexandria database describes an optimized crystal structure of Ti2P2H4O11. The functional is GGA-PBEsol.

Results
E	-280.10	eV for the cell shown
N(E_F)	0.00	states/eV/cell
space-group type	P-1, No. 2
total magnetic moment	0.0	μB/f.u.

Structure (POSCAR):
```
Ti2P2H4O11
1.0
5.162 0.000 0.000
0.845 8.587 0.000
0.813 2.731 9.410
Ti P H O
4 4 8 22
direct
0.053 0.365 0.310
0.271 0.758 0.160
0.729 0.242 0.840
0.947 0.635 0.690
0.214 0.174 0.067
0.245 0.312 0.622
0.755 0.688 0.378
0.786 0.826 0.933
0.142 0.843 0.452
0.218 0.661 0.899
0.375 0.787 0.553
0.423 0.553 0.814
0.577 0.447 0.186
0.625 0.213 0.447
0.782 0.339 0.101
0.858 0.157 0.548
0.021 0.214 0.707
0.047 0.762 0.003
0.185 0.819 0.553
0.186 0.494 0.609
0.200 0.218 0.209
0.244 0.605 0.822
0.252 0.529 0.219
0.263 0.991 0.093
0.277 0.286 0.471
0.437 0.262 0.971
0.498 0.752 0.307
0.502 0.248 0.693
0.563 0.738 0.029
0.723 0.714 0.529
0.737 0.009 0.907
0.748 0.471 0.781
0.756 0.395 0.178
0.800 0.782 0.791
0.814 0.506 0.391
0.815 0.181 0.447
0.953 0.238 0.997
0.979 0.786 0.293
```